1.
First-principles (PBE) data for an optimized crystal structure of CeY2HoS6, as listed in Alexandria via LeMat-Bulk.

Calculated values
SG = R3 (146)
Theoretical density = 4.3 Mg/m³
D(E_F) = 4.97 states/eV/cell
Energy relative to the elements, uncorrected = -2.0239 eV per atom

a b c (Å): 7.395 7.395 7.395
angles (deg): 56.37 56.37 56.37
Fractional coordinates of all 10 atoms:
Ce 0.000 0.000 0.000
Y 0.293 0.293 0.293
Y 0.797 0.797 0.797
Ho 0.495 0.495 0.495
S 0.093 0.680 0.412
S 0.198 0.590 0.894
S 0.412 0.093 0.680
S 0.590 0.894 0.198
S 0.680 0.412 0.093
S 0.894 0.198 0.590

---

2.
First-principles (PBE) data for an optimized crystal structure of Ce3YHo2S6, as listed in Alexandria via LeMat-Bulk.

Calculated values
SG = C2/m (12)
Theoretical density = 6.5 Mg/m³
D(E_F) = 16.07 states/eV/cell
Energy relative to the elements, uncorrected = -2.0261 eV per atom

a b c (Å): 6.824 6.824 6.931
angles (deg): 99.45 99.45 120.04
Fractional coordinates of all 12 atoms:
Ce 0.000 0.000 0.000
Ce 0.334 0.666 0.000
Ce 0.666 0.334 0.000
Y 0.500 0.500 0.500
Ho 0.167 0.833 0.500
Ho 0.833 0.167 0.500
S 0.086 0.421 0.263
S 0.244 0.244 0.737
S 0.421 0.086 0.263
S 0.579 0.914 0.737
S 0.756 0.756 0.263
S 0.914 0.579 0.737

---

3.
First-principles (PBE) data for an optimized crystal structure of CeYHoS3, as listed in Alexandria via LeMat-Bulk.

Calculated values
SG = P2_1/m (11)
Theoretical density = 5.7 Mg/m³
D(E_F) = 15.48 states/eV/cell
Energy relative to the elements, uncorrected = -1.7895 eV per atom

a b c (Å): 7.525 3.917 9.945
angles (deg): 90.00 101.54 90.00
Fractional coordinates of all 12 atoms:
Ce 0.184 0.250 0.208
Ce 0.816 0.750 0.792
Y 0.185 0.250 0.619
Y 0.815 0.750 0.381
Ho 0.330 0.750 0.909
Ho 0.670 0.250 0.091
S 0.087 0.250 0.884
S 0.195 0.750 0.432
S 0.471 0.750 0.184
S 0.529 0.250 0.816
S 0.805 0.250 0.568
S 0.913 0.750 0.116

---

4.
First-principles (PBE) data for an optimized crystal structure of CeY3Ho2S6, as listed in Alexandria via LeMat-Bulk.

Calculated values
SG = C2/m (12)
Theoretical density = 6.0 Mg/m³
D(E_F) = 9.64 states/eV/cell
Energy relative to the elements, uncorrected = -2.0000 eV per atom

a b c (Å): 8.770 8.770 7.881
angles (deg): 102.89 102.89 25.78
Fractional coordinates of all 12 atoms:
Ce 0.000 0.000 0.000
Y 0.000 0.000 0.500
Y 0.336 0.336 0.165
Y 0.664 0.664 0.835
Ho 0.335 0.335 0.671
Ho 0.665 0.665 0.329
S 0.168 0.168 0.581
S 0.170 0.170 0.087
S 0.499 0.499 0.742
S 0.501 0.501 0.258
S 0.830 0.830 0.913
S 0.832 0.832 0.419

---

5.
First-principles (PBE) data for an optimized crystal structure of Ce2YHoS4, as listed in Alexandria via LeMat-Bulk.

Calculated values
SG = P2/m (10)
Theoretical density = 6.2 Mg/m³
D(E_F) = 10.90 states/eV/cell
Energy relative to the elements, uncorrected = -2.0268 eV per atom

a b c (Å): 6.830 3.937 6.936
angles (deg): 90.00 109.15 90.00
Fractional coordinates of all 8 atoms:
Ce 0.000 0.000 0.000
Ce 0.500 0.500 0.000
Y 0.000 0.500 0.500
Ho 0.500 0.000 0.500
S 0.247 0.000 0.738
S 0.256 0.500 0.263
S 0.744 0.500 0.737
S 0.753 0.000 0.262

---

6.
First-principles (PBE) data for an optimized crystal structure of Ce3Y2HoS6, as listed in Alexandria via LeMat-Bulk.

Calculated values
SG = C2/m (12)
Theoretical density = 6.0 Mg/m³
D(E_F) = 16.21 states/eV/cell
Energy relative to the elements, uncorrected = -2.0291 eV per atom

a b c (Å): 6.837 6.837 6.935
angles (deg): 99.47 99.47 120.04
Fractional coordinates of all 12 atoms:
Ce 0.000 0.000 0.000
Ce 0.333 0.667 0.000
Ce 0.667 0.333 0.000
Y 0.167 0.833 0.500
Y 0.833 0.167 0.500
Ho 0.500 0.500 0.500
S 0.089 0.421 0.262
S 0.248 0.248 0.739
S 0.421 0.089 0.262
S 0.579 0.911 0.738
S 0.752 0.752 0.261
S 0.911 0.579 0.738